1.
{
  "formula": "SrCeMgAl",
  "functional": "GGA-PBE",
  "state": "optimized geometry",
  "lattice": [[0.000, 3.887, 3.887], [3.887, 0.000, 3.887], [3.887, 3.887, 0.000]],
  "species": ["Sr", "Ce", "Mg", "Al"],
  "frac_coords": [[0.000, 0.000, 0.000], [0.500, 0.500, 0.500], [0.250, 0.250, 0.250], [0.750, 0.750, 0.750]],
  "m_tot_mub_per_fu": 1.15,
  "delta_e_f_mev_per_atom": -20,
  "spacegroup": "F-43m"
}

2.
{
  "formula": "CdTeCl2",
  "functional": "GGA-PBE",
  "state": "optimized geometry",
  "lattice": [[3.481, 0.000, 0.000], [0.000, 3.481, 0.000], [0.000, 0.000, 8.654]],
  "species": ["Cd", "Te", "Cl", "Cl"],
  "frac_coords": [[0.000, 0.000, 0.000], [0.500, 0.500, 0.746], [0.000, 0.000, 0.542], [0.500, 0.500, 0.166]],
  "formation_energy_uncorrected_ev_per_fu": -0.898,
  "m_tot_mub_per_fu": 0.00,
  "spacegroup": "P4mm",
  "e_above_lowest_polymorph_mev_per_atom": 316
}

3.
{
  "formula": "PaTaGa",
  "functional": "GGA-PBE",
  "state": "optimized geometry",
  "lattice": [[4.899, 0.000, 0.000], [-2.450, 4.243, 0.000], [0.000, 0.000, 2.974]],
  "species": ["Pa", "Ta", "Ga"],
  "frac_coords": [[0.000, 0.000, 0.000], [0.667, 0.333, 0.500], [0.333, 0.667, 0.500]],
  "m_tot_mub_per_fu": 0.92,
  "delta_e_f_mev_per_atom": 87,
  "spacegroup": "P-6m2",
  "e_above_lowest_polymorph_mev_per_atom": 143
}

4.
{
  "formula": "ZrAlAsSe2",
  "functional": "GGA-PBE",
  "state": "optimized geometry",
  "lattice": [[4.813, 0.000, 0.000], [0.000, 4.813, 0.000], [0.000, 0.000, 4.820]],
  "species": ["Zr", "Al", "As", "Se", "Se"],
  "frac_coords": [[0.000, 0.000, 0.000], [0.500, 0.500, 0.500], [0.500, 0.500, 0.000], [0.000, 0.500, 0.500], [0.500, 0.000, 0.500]],
  "formation_energy_uncorrected_ev_per_fu": 0.086,
  "m_tot_mub_per_fu": 0.00,
  "spacegroup": "P4/mmm",
  "e_above_lowest_polymorph_mev_per_atom": 147
}

5.
{
  "formula": "ZrTaSb4",
  "functional": "GGA-PBE",
  "state": "optimized geometry",
  "lattice": [[0.000, 4.237, 4.237], [4.237, 0.000, 4.237], [4.237, 4.237, 0.000]],
  "species": ["Zr", "Ta", "Sb", "Sb", "Sb", "Sb"],
  "frac_coords": [[0.000, 0.000, 0.000], [0.250, 0.250, 0.250], [0.125, 0.625, 0.625], [0.625, 0.125, 0.625], [0.625, 0.625, 0.125], [0.625, 0.625, 0.625]],
  "formation_energy_uncorrected_ev_per_fu": 4.729,
  "m_tot_mub_per_fu": 0.00,
  "spacegroup": "F-43m"
}

6.
{
  "formula": "Sm4TcAg",
  "functional": "GGA-PBE",
  "state": "optimized geometry",
  "lattice": [[4.305, -6.430, 0.000], [4.305, 6.430, 0.000], [-1.838, 0.000, 6.112]],
  "species": ["Sm", "Sm", "Sm", "Sm", "Sm", "Sm", "Sm", "Sm", "Tc", "Tc", "Ag", "Ag"],
  "frac_coords": [[0.067, 0.723, 0.958], [0.210, 0.367, 0.596], [0.277, 0.933, 0.542], [0.367, 0.210, 0.096], [0.633, 0.790, 0.904], [0.723, 0.067, 0.458], [0.790, 0.633, 0.404], [0.933, 0.277, 0.042], [0.001, 0.999, 0.750], [0.999, 0.001, 0.250], [0.374, 0.626, 0.250], [0.626, 0.374, 0.750]],
  "m_tot_mub_per_fu": 0.00,
  "delta_e_f_mev_per_atom": -125,
  "spacegroup": "C2/c"
}

7.
{
  "formula": "Sr2MoSe",
  "functional": "GGA-PBE",
  "state": "optimized geometry",
  "lattice": [[2.149, 1.241, 8.323], [-2.149, 1.241, 8.323], [0.000, -2.482, 8.323]],
  "species": ["Sr", "Sr", "Mo", "Se"],
  "frac_coords": [[0.000, 0.000, 0.000], [0.183, 0.183, 0.183], [0.758, 0.758, 0.758], [0.424, 0.424, 0.424]],
  "formation_energy_uncorrected_ev_per_fu": -0.285,
  "m_tot_mub_per_fu": 0.00,
  "spacegroup": "R3m"
}

8.
{
  "formula": "Pa2NbCo3Ge4",
  "functional": "GGA-PBE",
  "state": "optimized geometry",
  "lattice": [[3.999, 0.000, 0.000], [0.000, 3.999, 0.000], [0.000, 0.000, 10.533]],
  "species": ["Pa", "Pa", "Nb", "Co", "Co", "Co", "Ge", "Ge", "Ge", "Ge"],
  "frac_coords": [[0.000, 0.500, 0.230], [0.500, 0.000, 0.770], [0.000, 0.000, 0.500], [0.000, 0.500, 0.875], [0.500, 0.000, 0.125], [0.500, 0.500, 0.500], [0.000, 0.000, 0.000], [0.000, 0.500, 0.655], [0.500, 0.000, 0.345], [0.500, 0.500, 0.000]],
  "m_tot_mub_per_fu": 1.54,
  "delta_e_f_mev_per_atom": -463,
  "spacegroup": "P-4m2"
}

9.
{
  "formula": "Pr6ZnAg5",
  "functional": "GGA-PBE",
  "state": "optimized geometry",
  "lattice": [[8.465, -3.741, 0.000], [8.465, 3.741, 0.000], [-1.692, 0.000, 5.087]],
  "species": ["Pr", "Pr", "Pr", "Pr", "Pr", "Pr", "Zn", "Ag", "Ag", "Ag", "Ag", "Ag"],
  "frac_coords": [[0.083, 0.586, 0.334], [0.247, 0.753, 0.000], [0.414, 0.917, 0.666], [0.586, 0.083, 0.334], [0.753, 0.247, 0.000], [0.917, 0.414, 0.666], [0.000, 0.000, 0.500], [0.165, 0.165, 0.165], [0.333, 0.333, 0.833], [0.500, 0.500, 0.500], [0.667, 0.667, 0.167], [0.835, 0.835, 0.835]],
  "m_tot_mub_per_fu": 0.01,
  "delta_e_f_mev_per_atom": -253,
  "spacegroup": "C2/m"
}

10.
{
  "formula": "ZrSc2Si",
  "functional": "GGA-PBE",
  "state": "optimized geometry",
  "lattice": [[3.311, 0.000, 0.000], [0.000, 4.423, 0.000], [-1.228, 0.000, 5.693]],
  "species": ["Zr", "Sc", "Sc", "Si"],
  "frac_coords": [[0.000, 0.000, 0.000], [0.393, 0.500, 0.733], [0.607, 0.500, 0.267], [0.000, 0.000, 0.500]],
  "formation_energy_uncorrected_ev_per_fu": -0.972,
  "m_tot_mub_per_fu": 0.00,
  "spacegroup": "P2/m"
}

11.
{
  "formula": "TbPu2Pb",
  "functional": "GGA-PBE",
  "state": "optimized geometry",
  "lattice": [[4.599, 0.000, 0.000], [0.000, 4.599, 0.000], [0.000, 0.000, 5.215]],
  "species": ["Tb", "Pu", "Pu", "Pb"],
  "frac_coords": [[0.000, 0.000, 0.000], [0.000, 0.500, 0.500], [0.500, 0.000, 0.500], [0.500, 0.500, 0.000]],
  "m_tot_mub_per_fu": 12.60,
  "delta_e_f_mev_per_atom": -167,
  "spacegroup": "P4/mmm"
}

12.
{
  "formula": "RbVI",
  "functional": "GGA-PBE",
  "state": "optimized geometry",
  "lattice": [[8.652, -2.981, 0.000], [8.652, 2.981, 0.000], [-0.057, 0.000, 4.668]],
  "species": ["Rb", "Rb", "V", "V", "I", "I"],
  "frac_coords": [[0.000, 0.000, 0.000], [0.746, 0.746, 0.486], [0.373, 0.373, 0.189], [0.373, 0.373, 0.798], [0.217, 0.217, 0.985], [0.515, 0.515, 0.500]],
  "formation_energy_uncorrected_ev_per_fu": -0.056,
  "m_tot_mub_per_fu": 0.00,
  "spacegroup": "Cm",
  "e_above_lowest_polymorph_mev_per_atom": 28
}

| no. | volume (Å³/f.u.) |
| --- | --- |
| 1 | 117.4 |
| 2 | 104.8 |
| 3 | 61.8 |
| 4 | 111.7 |
| 5 | 152.1 |
| 6 | 169.2 |
| 7 | 133.2 |
| 8 | 168.4 |
| 9 | 322.1 |
| 10 | 83.4 |
| 11 | 110.3 |
| 12 | 120.4 |